{"formula": "TaZn2Mo", "functional": "GGA-PBE", "state": "relaxed", "e_form_ev_per_atom": 0.144, "e_tot_ev_per_cell": -24.66, "polymorph_energy_mev_per_atom": 131.0, "lattice_angstrom": [[4.919, -0.001, -0.012], [4.186, 2.584, -0.012], [0.668, 0.190, 4.962]], "species": ["Mo", "Ta", "Zn", "Zn"], "fractional_positions": [[0.495, 0.495, 0.502], [0.254, 0.254, 0.251], [0.745, 0.745, 0.751], [0.005, 0.005, 0.996]]}